VASP calculation (PBE) on Li6MgZn5 after structural relaxation.

The calculation puts the relative energy among the computed polymorphs at 0 meV per atom. Its magnetic moment is 0.000 Bohr magnetons per cell. As for the total energy: -1.75 eV/atom. As for the formation energy: -0.129 eV per atom.

a = 3.789 Å, b = 7.539 Å, c = 7.539 Å
α = 104.61°, β = 103.88°, γ = 103.88°
Fractional coordinates of all 12 atoms:
Zn  0.000  0.667  0.333
Mg  0.000  0.000  0.000
Li  0.745  0.576  0.915
Zn  0.000  0.333  0.667
Zn  0.500  0.825  0.175
Li  0.765  0.265  0.265
Li  0.745  0.915  0.576
Li  0.255  0.424  0.085
Zn  0.500  0.500  0.500
Zn  0.500  0.175  0.825
Li  0.235  0.735  0.735
Li  0.255  0.085  0.424

---

VASP calculation (PBE) on La6Nd5Er after structural relaxation.

The calculation puts the relative energy among the computed polymorphs at 5 meV per atom. Its magnetic moment is 0.000 Bohr magnetons per cell. As for the total energy: -4.81 eV/atom. As for the formation energy: 0.016 eV per atom.

a = 6.380 Å, b = 7.418 Å, c = 9.790 Å
α = 67.73°, β = 89.38°, γ = 89.92°
Fractional coordinates of all 12 atoms:
La  0.835  0.083  0.332
Er  0.000  0.000  0.000
Nd  0.668  0.166  0.668
La  0.165  0.415  0.668
Nd  0.665  0.667  0.667
La  0.500  0.753  0.000
La  0.835  0.585  0.332
La  0.165  0.917  0.668
Nd  0.332  0.834  0.332
Nd  0.000  0.500  0.000
La  0.500  0.247  0.000
Nd  0.335  0.333  0.333

---

VASP calculation (PBE) on KTc2Cl after structural relaxation.

The calculation puts the relative energy among the computed polymorphs at 886 meV per atom. Its magnetic moment is 0.000 Bohr magnetons per cell. For the formation energy (no corrections), the calculation gives 937 meV/atom. As for the total energy: -4.98 eV/atom.

a = 2.793 Å, b = 6.698 Å, c = 5.423 Å
α = 90.00°, β = 90.00°, γ = 90.00°
Fractional coordinates of all 4 atoms:
Tc  0.000  0.000  0.945
K  0.500  0.500  0.750
Cl  0.500  0.500  0.250
Tc  0.000  0.000  0.555

---

VASP calculation (PBE) on BaAgN after structural relaxation.

Its magnetic moment is 0.000 Bohr magnetons per cell. For the formation energy (no corrections), the calculation gives 225 meV/atom. As for the total energy: -4.14 eV/atom.

a = 6.589 Å, b = 7.832 Å, c = 5.742 Å
α = 90.00°, β = 90.00°, γ = 90.00°
Fractional coordinates of all 12 atoms:
Ag  0.000  0.750  0.517
N  0.750  0.750  0.750
N  0.250  0.250  0.250
Ba  0.000  0.500  0.000
N  0.750  0.250  0.250
Ag  0.500  0.750  0.983
Ag  0.500  0.250  0.017
Ag  0.000  0.250  0.483
Ba  0.500  0.500  0.500
Ba  0.500  0.000  0.500
Ba  0.000  0.000  0.000
N  0.250  0.750  0.750

---

VASP calculation (PBE) on Rb2LiSmCl6 after structural relaxation.

Its magnetic moment is 0.000 Bohr magnetons per cell. For the formation energy (no corrections), the calculation gives -2083 meV/atom. As for the total energy: -4.05 eV/atom.

a = 7.480 Å, b = 7.480 Å, c = 7.480 Å
α = 59.99°, β = 59.99°, γ = 59.99°
Fractional coordinates of all 10 atoms:
Cl  0.255  0.745  0.255
Cl  0.745  0.745  0.255
Cl  0.745  0.255  0.255
Cl  0.255  0.255  0.745
Rb  0.750  0.750  0.750
Rb  0.250  0.250  0.250
Li  0.500  0.500  0.500
Sm  0.000  0.000  0.000
Cl  0.255  0.745  0.745
Cl  0.745  0.255  0.745

---

VASP calculation (PBE) on Pm3Dy2ErBi6 after structural relaxation.

Its magnetic moment is 0.000 Bohr magnetons per cell. As for the total energy: -5.17 eV/atom. As for the formation energy: -0.891 eV per atom.

a = 4.525 Å, b = 9.042 Å, c = 10.107 Å
α = 102.80°, β = 102.93°, γ = 90.00°
Fractional coordinates of all 12 atoms:
Dy  0.167  0.333  0.333
Er  0.500  0.000  0.000
Pm  0.833  0.167  0.666
Bi  0.664  0.087  0.329
Pm  0.167  0.833  0.334
Pm  0.500  0.500  0.000
Dy  0.833  0.667  0.667
Bi  0.999  0.755  0.997
Bi  0.332  0.421  0.664
Bi  0.336  0.913  0.671
Bi  0.001  0.245  0.003
Bi  0.668  0.579  0.336

---

VASP calculation (PBE) on PuBi2Au after structural relaxation.

The calculation puts the relative energy among the computed polymorphs at 0 meV per atom. Its magnetic moment is 10.683 Bohr magnetons per cell. As for the total energy: -6.66 eV/atom. As for the formation energy: -0.318 eV per atom.

a = 4.755 Å, b = 4.755 Å, c = 9.994 Å
α = 103.76°, β = 103.76°, γ = 90.00°
Fractional coordinates of all 8 atoms:
Pu  0.130  0.130  0.261
Au  0.750  0.250  0.500
Bi  0.000  0.500  0.000
Bi  0.649  0.649  0.297
Bi  0.351  0.351  0.703
Pu  0.870  0.870  0.739
Bi  0.500  0.000  0.000
Au  0.250  0.750  0.500

---

VASP calculation (PBE) on SrPdCl2 after structural relaxation.

The calculation puts the relative energy among the computed polymorphs at 699 meV per atom. Its magnetic moment is 0.795 Bohr magnetons per cell. For the formation energy (no corrections), the calculation gives -618 meV/atom. As for the total energy: -3.26 eV/atom.

a = 8.124 Å, b = 8.124 Å, c = 8.124 Å
α = 30.86°, β = 30.86°, γ = 30.86°
Fractional coordinates of all 4 atoms:
Pd  0.500  0.500  0.500
Sr  0.000  0.000  0.000
Cl  0.118  0.118  0.118
Cl  0.882  0.882  0.882

---

VASP calculation (PBE) on LaTb2Cd6 after structural relaxation.

Its magnetic moment is 0.147 Bohr magnetons per cell. As for the total energy: -2.52 eV/atom. As for the formation energy: -0.333 eV per atom.

a = 3.456 Å, b = 8.742 Å, c = 8.742 Å
α = 120.00°, β = 90.00°, γ = 90.00°
Fractional coordinates of all 9 atoms:
Tb  0.000  0.333  0.667
Cd  0.500  0.000  0.337
Tb  0.000  0.667  0.333
Cd  0.500  0.000  0.663
Cd  0.500  0.663  0.663
Cd  0.500  0.337  0.000
La  0.000  0.000  0.000
Cd  0.500  0.337  0.337
Cd  0.500  0.663  0.000

---

VASP calculation (PBE) on CrSnN2 after structural relaxation.

Its magnetic moment is 0.000 Bohr magnetons per cell. For the formation energy (no corrections), the calculation gives 54 meV/atom. As for the total energy: -7.52 eV/atom.

a = 2.878 Å, b = 2.878 Å, c = 6.596 Å
α = 90.00°, β = 90.00°, γ = 120.00°
Fractional coordinates of all 4 atoms:
Sn  0.000  0.000  0.500
N  0.000  0.000  0.832
Cr  0.667  0.333  0.000
N  0.000  0.000  0.168

---

VASP calculation (PBE) on YMn2Mo after structural relaxation.

The calculation puts the relative energy among the computed polymorphs at 438 meV per atom. Its magnetic moment is 6.860 Bohr magnetons per cell. As for the total energy: -8.27 eV/atom. As for the formation energy: 0.642 eV per atom.

a = 7.145 Å, b = 7.145 Å, c = 5.825 Å
α = 52.17°, β = 52.17°, γ = 90.00°
Fractional coordinates of all 8 atoms:
Mn  0.075  0.625  0.250
Mn  0.875  0.925  0.750
Mn  0.675  0.125  0.250
Mo  0.750  0.250  0.500
Y  0.500  0.500  0.000
Mn  0.375  0.325  0.750
Y  0.250  0.750  0.500
Mo  0.000  0.000  0.000

---

VASP calculation (PBE) on LiLa3Dy2Te6 after structural relaxation.

Its magnetic moment is 0.000 Bohr magnetons per cell. For the formation energy (no corrections), the calculation gives -1435 meV/atom. As for the total energy: -5.16 eV/atom.

a = 4.461 Å, b = 8.912 Å, c = 9.971 Å
α = 102.74°, β = 102.93°, γ = 90.00°
Fractional coordinates of all 12 atoms:
Te  0.330  0.424  0.661
Te  0.004  0.235  0.009
Te  0.996  0.765  0.991
La  0.500  0.500  0.000
Te  0.670  0.576  0.339
Dy  0.167  0.338  0.334
La  0.166  0.833  0.332
Dy  0.833  0.662  0.666
Li  0.500  0.000  0.000
La  0.834  0.167  0.668
Te  0.339  0.908  0.679
Te  0.661  0.092  0.321

---

VASP calculation (PBE) on Cr2GeHW after structural relaxation.

Its magnetic moment is 5.378 Bohr magnetons per cell. As for the total energy: -6.34 eV/atom.

a = 4.796 Å, b = 4.893 Å, c = 4.796 Å
α = 90.00°, β = 90.00°, γ = 90.00°
Fractional coordinates of all 5 atoms:
Ge  0.000  0.500  0.000
W  0.000  0.000  0.000
H  0.500  0.500  0.500
Cr  0.000  0.000  0.500
Cr  0.500  0.000  0.000

---

VASP calculation (PBE) on LaMoP4 after structural relaxation.

Its magnetic moment is 2.004 Bohr magnetons per cell. As for the total energy: -5.93 eV/atom. As for the formation energy: 0.302 eV per atom.

a = 5.286 Å, b = 5.286 Å, c = 5.286 Å
α = 60.00°, β = 60.00°, γ = 60.00°
Fractional coordinates of all 6 atoms:
P  0.368  0.368  0.368
La  0.750  0.750  0.750
P  0.368  0.368  0.895
P  0.895  0.368  0.368
Mo  0.000  0.000  0.000
P  0.368  0.895  0.368

---

VASP calculation (PBE) on Tb8Dy4Ho3 after structural relaxation.

The calculation puts the relative energy among the computed polymorphs at 0 meV per atom. Its magnetic moment is 0.002 Bohr magnetons per cell. As for the total energy: -4.47 eV/atom. As for the formation energy: 0.145 eV per atom.

a = 6.901 Å, b = 6.901 Å, c = 12.368 Å
α = 73.80°, β = 73.80°, γ = 60.00°
Fractional coordinates of all 15 atoms:
Dy  0.500  0.500  0.500
Tb  0.250  0.752  0.749
Tb  0.248  0.750  0.251
Tb  0.250  0.250  0.749
Tb  0.750  0.750  0.251
Tb  0.752  0.250  0.749
Tb  0.755  0.755  0.736
Ho  0.000  0.000  0.500
Dy  0.664  0.664  0.009
Ho  0.000  0.500  0.500
Tb  0.750  0.248  0.251
Tb  0.245  0.245  0.264
Ho  0.500  0.000  0.500
Dy  0.000  0.000  0.000
Dy  0.336  0.336  0.991

---

VASP calculation (PBE) on Si4Ag after structural relaxation.

The calculation puts the relative energy among the computed polymorphs at 947 meV per atom. Its magnetic moment is 0.000 Bohr magnetons per cell. For the formation energy (no corrections), the calculation gives 1318 meV/atom. As for the total energy: -3.59 eV/atom.

a = 4.798 Å, b = 4.798 Å, c = 4.798 Å
α = 90.00°, β = 90.00°, γ = 90.00°
Fractional coordinates of all 5 atoms:
Si  0.000  0.500  0.500
Si  0.000  0.000  0.000
Si  0.500  0.500  0.000
Si  0.500  0.000  0.500
Ag  0.500  0.500  0.500

---

VASP calculation (PBE) on La2TbMg5 after structural relaxation.

Its magnetic moment is 0.001 Bohr magnetons per cell. As for the total energy: -2.89 eV/atom. As for the formation energy: -0.082 eV per atom.

a = 5.260 Å, b = 5.260 Å, c = 8.902 Å
α = 107.18°, β = 107.18°, γ = 90.00°
Fractional coordinates of all 8 atoms:
Mg  0.112  0.612  0.224
Mg  0.888  0.388  0.776
Tb  0.000  0.000  0.000
La  0.260  0.260  0.520
La  0.740  0.740  0.480
Mg  0.500  0.500  0.000
Mg  0.388  0.888  0.776
Mg  0.612  0.112  0.224

---

VASP calculation (PBE) on LaNb3Al after structural relaxation.

The calculation puts the relative energy among the computed polymorphs at 835 meV per atom. Its magnetic moment is 0.000 Bohr magnetons per cell. As for the total energy: -6.03 eV/atom. As for the formation energy: 1.749 eV per atom.

a = 4.901 Å, b = 4.901 Å, c = 4.901 Å
α = 90.00°, β = 90.00°, γ = 90.00°
Fractional coordinates of all 5 atoms:
Nb  0.500  0.000  0.000
La  0.000  0.000  0.000
Al  0.500  0.500  0.500
Nb  0.000  0.500  0.000
Nb  0.000  0.000  0.500

---

VASP calculation (PBE) on Ac12TcGe6 after structural relaxation.

Its magnetic moment is 0.950 Bohr magnetons per cell. As for the total energy: -4.97 eV/atom. As for the formation energy: -0.367 eV per atom.

a = 9.108 Å, b = 9.108 Å, c = 9.108 Å
α = 99.22°, β = 99.22°, γ = 99.22°
Fractional coordinates of all 19 atoms:
Ac  0.432  0.815  0.573
Ge  0.626  0.302  0.129
Ge  0.129  0.626  0.302
Ge  0.302  0.129  0.626
Tc  0.000  0.000  0.000
Ge  0.698  0.871  0.374
Ac  0.427  0.568  0.185
Ac  0.185  0.427  0.568
Ge  0.374  0.698  0.871
Ac  0.317  0.064  0.964
Ac  0.964  0.317  0.064
Ac  0.064  0.964  0.317
Ac  0.573  0.432  0.815
Ac  0.683  0.936  0.036
Ge  0.871  0.374  0.698
Ac  0.568  0.185  0.427
Ac  0.815  0.573  0.432
Ac  0.036  0.683  0.936
Ac  0.936  0.036  0.683

---

VASP calculation (PBE) on Ti5Nb4Mo2 after structural relaxation.

Its magnetic moment is 0.710 Bohr magnetons per cell. As for the total energy: -9.05 eV/atom. As for the formation energy: 0.174 eV per atom.

a = 2.669 Å, b = 7.263 Å, c = 9.927 Å
α = 92.62°, β = 90.00°, γ = 90.00°
Fractional coordinates of all 11 atoms:
Mo  0.000  0.048  0.640
Nb  0.500  0.310  0.451
Nb  0.500  0.690  0.549
Ti  0.000  0.500  0.000
Nb  0.500  0.146  0.908
Nb  0.500  0.854  0.092
Ti  0.000  0.779  0.817
Ti  0.000  0.221  0.183
Mo  0.000  0.952  0.360
Ti  0.000  0.411  0.722
Ti  0.000  0.589  0.278